[1]
{
  "formula": "K2GaSn",
  "functional": "PBE",
  "state": "optimized geometry",
  "lattice_angstrom": [[13.0844, 0.0000, 0.0000], [0.0000, 13.0844, 0.0000], [6.5422, 6.5422, 2.6274]],
  "species": ["K", "K", "K", "Sn", "K", "Sn", "Ga", "Ga"],
  "fractional_positions": [[0.3348, 0.6250, 0.2500], [0.8750, 0.6652, 0.7500], [0.3750, 0.5848, 0.7500], [0.0000, 0.0000, 0.0000], [0.4152, 0.1250, 0.2500], [0.7500, 0.2500, 0.5000], [0.2500, 0.7500, 0.5000], [0.5000, 0.5000, 0.0000]],
  "spacegroup": "I-42d (122)",
  "mass_density_g_cm3": 2.0,
  "dft_energy_ev_per_cell": -18.21
}

[2]
{
  "formula": "Sc2Si4Mo3",
  "functional": "PBE",
  "state": "optimized geometry",
  "lattice_angstrom": [[6.5591, 0.0000, 0.0000], [0.0000, 6.7910, 0.0000], [0.0000, 0.0000, 12.6773]],
  "species": ["Sc", "Si", "Mo", "Si", "Si", "Si", "Mo", "Si", "Sc", "Mo", "Mo", "Si", "Mo", "Sc", "Mo", "Mo", "Sc", "Si", "Si", "Si", "Si", "Mo", "Sc", "Si", "Mo", "Mo", "Si", "Si", "Si", "Mo", "Sc", "Sc", "Sc", "Si", "Si", "Mo"],
  "fractional_positions": [[0.9961, 0.1699, 0.0924], [0.0320, 0.1241, 0.7500], [0.1711, 0.6650, 0.1236], [0.5320, 0.3759, 0.7500], [0.7002, 0.1405, 0.2500], [0.8346, 0.5376, 0.0446], [0.3289, 0.1650, 0.6236], [0.2002, 0.3595, 0.2500], [0.4961, 0.3301, 0.4076], [0.6711, 0.8350, 0.3764], [0.3352, 0.0054, 0.2500], [0.6654, 0.0376, 0.5446], [0.1711, 0.6650, 0.3764], [0.9961, 0.1699, 0.4076], [0.8289, 0.3350, 0.6236], [0.8352, 0.4946, 0.2500], [0.0039, 0.8301, 0.9076], [0.3346, 0.9624, 0.4554], [0.7998, 0.6405, 0.7500], [0.9680, 0.8759, 0.2500], [0.8346, 0.5376, 0.4554], [0.1648, 0.5054, 0.7500], [0.5039, 0.6699, 0.5924], [0.2998, 0.8595, 0.7500], [0.8289, 0.3350, 0.8764], [0.3289, 0.1650, 0.8764], [0.1654, 0.4624, 0.9554], [0.3346, 0.9624, 0.0446], [0.4680, 0.6241, 0.2500], [0.6648, 0.9946, 0.7500], [0.4961, 0.3301, 0.0924], [0.5039, 0.6699, 0.9076], [0.0039, 0.8301, 0.5924], [0.6654, 0.0376, 0.9554], [0.1654, 0.4624, 0.5446], [0.6711, 0.8350, 0.1236]],
  "spacegroup": "Pnma (62)",
  "mass_density_g_cm3": 5.8,
  "formation_energy_uncorrected_mev_per_atom": -735
}

[3]
{
  "formula": "Zn2RuCl",
  "functional": "PBE",
  "state": "optimized geometry",
  "lattice_angstrom": [[-5.0210, 3.8699, 1.2141], [-5.3896, 3.1593, -1.6221], [-2.3153, -3.3617, 1.1432]],
  "species": ["Zn", "Zn", "Ru", "Cl"],
  "fractional_positions": [[0.7729, 0.7729, 0.7500], [0.9076, 0.9076, 0.2500], [0.2420, 0.2420, 0.2499], [0.5775, 0.5775, 0.2501]],
  "spacegroup": "Amm2 (38)",
  "mass_density_g_cm3": 5.7,
  "formation_energy_uncorrected_mev_per_atom": 2
}

[4]
{
  "formula": "CeTl3Cl7",
  "functional": "PBE",
  "state": "optimized geometry",
  "lattice_angstrom": [[6.5768, 0.2610, 3.1685], [-1.2580, 6.4606, 3.1685], [-0.4477, -0.5658, 8.3253]],
  "species": ["Ce", "Cl", "Cl", "Cl", "Tl", "Cl", "Cl", "Cl", "Tl", "Tl", "Cl"],
  "fractional_positions": [[0.9511, 0.9511, 0.0318], [0.0961, 0.6352, 0.2435], [0.8566, 0.8566, 0.7836], [0.6382, 0.6382, 0.2491], [0.7856, 0.2518, 0.4824], [0.1310, 0.1310, 0.1725], [0.3156, 0.9527, 0.7836], [0.9527, 0.3156, 0.7836], [0.2518, 0.7856, 0.4824], [0.5111, 0.5111, 0.9938], [0.6352, 0.0961, 0.2435]],
  "spacegroup": "Cm (8)",
  "mass_density_g_cm3": 4.4,
  "formation_energy_uncorrected_mev_per_atom": -1467
}

[5]
{
  "formula": "Pu2Ga3Ag",
  "functional": "PBE",
  "state": "optimized geometry",
  "lattice_angstrom": [[-4.2222, -1.6034, 1.5652], [0.0335, -5.3461, 1.9123], [-0.4398, -0.4601, 5.6410]],
  "species": ["Ga", "Pu", "Ag", "Ga", "Ga", "Pu"],
  "fractional_positions": [[0.8314, 0.6691, 0.6681], [0.4999, 0.2528, 0.7473], [0.1682, 0.3317, 0.3320], [0.1649, 0.8351, 0.8351], [0.8356, 0.1641, 0.1648], [0.5000, 0.7472, 0.2527]],
  "spacegroup": "Imm2 (44)",
  "mass_density_g_cm3": 11.0,
  "dft_energy_ev_per_cell": -42.36
}

[6]
{
  "formula": "CeDyPSe",
  "functional": "PBE",
  "state": "optimized geometry",
  "lattice_angstrom": [[4.0774, 0.0000, 0.0000], [2.0387, 3.5311, 0.0000], [2.0387, 1.1770, 6.7905]],
  "species": ["Ce", "Dy", "P", "Se"],
  "fractional_positions": [[0.9940, 0.9940, 0.0181], [0.5061, 0.5061, 0.4816], [0.2472, 0.2472, 0.2585], [0.7528, 0.7528, 0.7417]],
  "spacegroup": "R3m (160)",
  "mass_density_g_cm3": 7.0,
  "formation_energy_uncorrected_mev_per_atom": -1738
}

[7]
{
  "formula": "LaI2Br",
  "functional": "PBE",
  "state": "optimized geometry",
  "lattice_angstrom": [[11.4750, 0.0000, 0.0000], [0.0000, 11.4750, 0.0000], [5.7375, 5.7375, 2.9492]],
  "species": ["I", "La", "Br", "I", "La", "I", "I", "Br"],
  "fractional_positions": [[0.3750, 0.2309, 0.7500], [0.7500, 0.2500, 0.5000], [0.2500, 0.7500, 0.5000], [0.7691, 0.1250, 0.2500], [0.0000, 0.0000, 0.0000], [0.9809, 0.6250, 0.2500], [0.8750, 0.0191, 0.7500], [0.5000, 0.5000, 0.0000]],
  "spacegroup": "I-42d (122)",
  "mass_density_g_cm3": 4.0,
  "formation_energy_uncorrected_mev_per_atom": -1557
}

[8]
{
  "formula": "CaMnI",
  "functional": "PBE",
  "state": "optimized geometry",
  "lattice_angstrom": [[4.9345, 0.0000, 0.0000], [-2.4673, 4.2734, 0.0000], [0.0000, 0.0000, 3.8477]],
  "species": ["I", "Ca", "Mn"],
  "fractional_positions": [[0.0000, 0.0000, 0.5000], [0.3333, 0.6667, 0.0000], [0.6667, 0.3333, 0.5000]],
  "spacegroup": "P-6m2 (187)",
  "mass_density_g_cm3": 4.5,
  "formation_energy_uncorrected_mev_per_atom": 98
}